The following is a PBE calculation of a geometry-optimized PrCd2Pt2 structure, from OQMD via LeMat-Bulk.

```
PrCd2Pt2
1.0
2.919 -2.919 0.000
2.919 2.919 0.000
-2.919 0.000 6.462
Cd Pr Pt
2 1 2
Cartesian
1.460 -1.460 3.231
1.460 1.460 3.231
0.000 0.000 0.000
2.919 0.000 1.307
0.000 0.000 5.155
```

Calculated values
The total energy comes out at -4.397 eV per atom. For the formation energy, the calculation gives -3.31 eV per formula unit. The offset from the most stable computed form comes out at 0 meV per atom.